(1)
Computed, not measured: a geometry-optimized Li4Sm3USe8 structure at the PBE-GGA level of DFT.

Values from the calculation:
- formation energy from raw total energies (eV per atom) = -1.540

```
16
Lattice="4.134 2.387 6.526 -4.134 2.387 6.526 0.000 -4.773 6.526" Properties=species:S:1:pos:R:3 pbc="T T T"
Li 0.000 0.000 0.000
Li -2.067 -1.193 6.526
Li -2.067 1.193 13.052
Li 0.000 2.387 6.526
Sm -4.134 0.000 9.789
Sm -2.067 1.193 3.263
Sm 2.067 1.193 3.263
U 0.000 0.000 9.789
Se 0.000 -2.359 8.107
Se -2.043 1.179 8.107
Se 0.000 0.000 4.953
Se -2.043 -1.179 11.471
Se 2.043 1.179 8.107
Se 0.000 0.000 14.625
Se 2.043 -1.179 11.471
Se 0.000 2.359 11.471
```

(2)
Computed, not measured: a geometry-optimized RbBaAlRh2 structure at the PBE-GGA level of DFT.

Values from the calculation:
- uncorrected energy (eV for the cell shown) = -14.7

```
5
Lattice="5.167 0.000 0.000 0.000 5.167 0.000 0.000 0.000 5.572" Properties=species:S:1:pos:R:3 pbc="T T T"
Rb 0.000 0.000 0.000
Ba 2.584 2.584 2.786
Al 0.000 0.000 2.786
Rh 0.000 2.584 0.000
Rh 2.584 0.000 0.000
```